Entry from Alexandria via LeMat-Bulk: crystalline KIrO3 at its relaxed geometry (PBE-GGA).

Structure (CIF):
```
data_KIrO3
_chemical_formula_sum 'K12 Ir12 O36'
_symmetry_space_group_name_H-M 'P n -3'
_symmetry_Int_Tables_number 201
_cell_length_a 9.579
_cell_length_b 9.579
_cell_length_c 9.579
_cell_angle_alpha 90.00
_cell_angle_beta 90.00
_cell_angle_gamma 90.00
loop_
_symmetry_equiv_pos_as_xyz
'x,y,z'
'-x,-y,-z'
'-x+1/2,-y+1/2,z'
'x+1/2,y+1/2,-z'
'x,-y+1/2,-z+1/2'
'-x,y+1/2,z+1/2'
'-x+1/2,y,-z+1/2'
'x+1/2,-y,z+1/2'
'z,x,y'
'-z,-x,-y'
'z,-x+1/2,-y+1/2'
'-z,x+1/2,y+1/2'
'-z+1/2,x,-y+1/2'
'z+1/2,-x,y+1/2'
'-z+1/2,-x+1/2,y'
'z+1/2,x+1/2,-y'
'y,z,x'
'-y,-z,-x'
'-y+1/2,z,-x+1/2'
'y+1/2,-z,x+1/2'
'-y+1/2,-z+1/2,x'
'y+1/2,z+1/2,-x'
'y,-z+1/2,-x+1/2'
'-y,z+1/2,x+1/2'
loop_
_atom_site_label
_atom_site_fract_x
_atom_site_fract_y
_atom_site_fract_z
K1 0.000 0.000 0.000
K2 0.096 0.096 0.404
Ir1 0.092 0.250 0.750
O1 0.046 0.746 0.097
O2 0.113 0.750 0.750
```

Summary:
* magnetic moment: 0.000 μB/f.u.


Entry from Alexandria via LeMat-Bulk: crystalline KIrO6 at its relaxed geometry (PBE-GGA).

Structure (CIF):
```
data_KIrO6
_chemical_formula_sum 'K3 Ir3 O18'
_symmetry_space_group_name_H-M 'R -3 m'
_symmetry_Int_Tables_number 166
_symmetry_space_group_name_Hall '-R 3 2"'
_cell_length_a 7.4553
_cell_length_b 7.4553
_cell_length_c 7.7688
_cell_angle_alpha 90.00
_cell_angle_beta 90.00
_cell_angle_gamma 120.00
loop_
_atom_site_label
_atom_site_fract_x
_atom_site_fract_y
_atom_site_fract_z
K1 0.0000 0.0000 0.0000
Ir1 0.0000 0.0000 0.5000
O1 0.1000 0.5500 0.3053
```

Summary:
* magnetic moment: 2.004 μB/f.u.


Entry from Alexandria via LeMat-Bulk: crystalline K5IrO5 at its relaxed geometry (PBE-GGA).

Structure (CIF):
```
data_K5IrO5
_chemical_formula_sum 'K10 Ir2 O10'
_symmetry_space_group_name_H-M 'C 1 2/m 1'
_symmetry_Int_Tables_number 12
_symmetry_space_group_name_Hall '-C 2y'
_cell_length_a 11.800
_cell_length_b 5.207
_cell_length_c 7.170
_cell_angle_alpha 90.00
_cell_angle_beta 108.86
_cell_angle_gamma 90.00
loop_
_atom_site_label
_atom_site_fract_x
_atom_site_fract_y
_atom_site_fract_z
K1 0.000 0.000 0.000
K2 0.169 0.500 0.347
K3 0.182 0.500 0.801
Ir1 0.000 0.000 0.500
O1 0.000 0.500 0.500
O2 0.122 0.000 0.369
O3 0.128 0.000 0.762
```

Summary:
* magnetic moment: 3.209 μB/f.u.


Entry from Alexandria via LeMat-Bulk: crystalline KIr2O at its relaxed geometry (PBE-GGA).

Structure (CIF):
```
data_KIr2O
_chemical_formula_sum 'K4 Ir8 O4'
_symmetry_space_group_name_H-M 'I 41/a m d'
_symmetry_Int_Tables_number 141
_cell_length_a 5.023
_cell_length_b 5.023
_cell_length_c 13.179
_cell_angle_alpha 90.00
_cell_angle_beta 90.00
_cell_angle_gamma 90.00
loop_
_symmetry_equiv_pos_as_xyz
'x,y,z'
'-x,-y,-z'
'-y+1/4,x+3/4,z+1/4'
'y+1/4,-x+3/4,-z+1/4'
'-x+1/2,-y,z+1/2'
'x+1/2,y,-z+1/2'
'y+1/4,-x+1/4,z+3/4'
'-y+1/4,x+1/4,-z+3/4'
'x,-y,-z'
'-x,y,z'
'-y+1/4,-x+1/4,-z+3/4'
'y+1/4,x+1/4,z+3/4'
'-x+1/2,y,-z+1/2'
'x+1/2,-y,z+1/2'
'y+1/4,x+3/4,-z+1/4'
'-y+1/4,-x+3/4,z+1/4'
'x+1/2,y+1/2,z+1/2'
'-x+1/2,-y+1/2,-z+1/2'
'-y+3/4,x+1/4,z+3/4'
'y+3/4,-x+1/4,-z+3/4'
'-x,-y+1/2,z'
'x,y+1/2,-z'
'y+3/4,-x+3/4,z+1/4'
'-y+3/4,x+3/4,-z+1/4'
'x+1/2,-y+1/2,-z+1/2'
'-x+1/2,y+1/2,z+1/2'
'-y+3/4,-x+3/4,-z+1/4'
'y+3/4,x+3/4,z+1/4'
'-x,y+1/2,-z'
'x,-y+1/2,z'
'y+3/4,x+1/4,-z+3/4'
'-y+3/4,-x+1/4,z+3/4'
loop_
_atom_site_label
_atom_site_fract_x
_atom_site_fract_y
_atom_site_fract_z
K1 0.000 0.250 0.375
Ir1 0.000 0.000 0.000
O1 0.000 0.250 0.875
```

Summary:
* magnetic moment: 0.000 μB/f.u.


Entry from Alexandria via LeMat-Bulk: crystalline KIr4O8 at its relaxed geometry (PBE-GGA).

Structure (CIF):
```
data_KIr4O8
_chemical_formula_sum 'K2 Ir8 O16'
_symmetry_space_group_name_H-M 'C 1 2/m 1'
_symmetry_Int_Tables_number 12
_symmetry_space_group_name_Hall '-C 2y'
_cell_length_a 14.236
_cell_length_b 3.209
_cell_length_c 9.926
_cell_angle_alpha 90.00
_cell_angle_beta 132.47
_cell_angle_gamma 90.00
loop_
_atom_site_label
_atom_site_fract_x
_atom_site_fract_y
_atom_site_fract_z
K1 0.000 0.000 0.000
Ir1 0.145 0.500 0.477
Ir2 0.162 0.000 0.814
O1 0.045 0.500 0.721
O2 0.145 0.000 0.600
O3 0.160 0.000 0.361
O4 0.213 0.000 0.063
```

Summary:
* magnetic moment: 0.018 μB/f.u.


Entry from Alexandria via LeMat-Bulk: crystalline K3Ir2O8 at its relaxed geometry (PBE-GGA).

Structure (CIF):
```
data_K3Ir2O8
_chemical_formula_sum 'K9 Ir6 O24'
_symmetry_space_group_name_H-M 'R -3 m'
_symmetry_Int_Tables_number 166
_symmetry_space_group_name_Hall '-R 3 2"'
_cell_length_a 6.1169
_cell_length_b 6.1169
_cell_length_c 21.9699
_cell_angle_alpha 90.00
_cell_angle_beta 90.00
_cell_angle_gamma 120.00
loop_
_atom_site_label
_atom_site_fract_x
_atom_site_fract_y
_atom_site_fract_z
K1 0.0000 0.0000 0.0000
K2 0.0000 0.0000 0.1991
Ir1 0.0000 0.0000 0.4038
O1 0.0000 0.0000 0.3218
O2 0.0127 0.5063 0.2336
```

Summary:
* magnetic moment: 3.040 μB/f.u.


Entry from Alexandria via LeMat-Bulk: crystalline K2IrOsO6 at its relaxed geometry (PBE-GGA).

Structure (CIF):
```
data_K2IrOsO6
_chemical_formula_sum 'K2 Ir1 Os1 O6'
_symmetry_space_group_name_H-M 'P 4/m m m'
_symmetry_Int_Tables_number 123
_symmetry_space_group_name_Hall '-P 4 2'
_cell_length_a 5.587
_cell_length_b 5.587
_cell_length_c 3.948
_cell_angle_alpha 90.00
_cell_angle_beta 90.00
_cell_angle_gamma 90.00
loop_
_atom_site_label
_atom_site_fract_x
_atom_site_fract_y
_atom_site_fract_z
K1 0.000 0.500 0.000
Ir1 0.000 0.000 0.500
Os1 0.500 0.500 0.500
O1 0.000 0.000 0.000
O2 0.255 0.255 0.500
O3 0.500 0.500 0.000
```

Summary:
* magnetic moment: 0.000 μB/f.u.


Entry from Alexandria via LeMat-Bulk: crystalline KIrOsO6 at its relaxed geometry (PBE-GGA).

Structure (CIF):
```
data_KIrOsO6
_chemical_formula_sum 'K4 Ir4 Os4 O24'
_symmetry_space_group_name_H-M 'I m m a'
_symmetry_Int_Tables_number 74
_symmetry_space_group_name_Hall '-I 2b 2'
_cell_length_a 7.132
_cell_length_b 7.278
_cell_length_c 10.211
_cell_angle_alpha 90.00
_cell_angle_beta 90.00
_cell_angle_gamma 90.00
loop_
_atom_site_label
_atom_site_fract_x
_atom_site_fract_y
_atom_site_fract_z
K1 0.000 0.250 0.115
Ir1 0.250 0.250 0.750
Os1 0.000 0.000 0.500
O1 0.000 0.250 0.441
O2 0.000 0.250 0.826
O3 0.191 0.052 0.624
```

Summary:
* magnetic moment: 0.000 μB/f.u.


no.,total energy (eV per atom)
1,-6.0564
2,-5.0992
3,-4.5985
4,-5.5969
5,-6.6809
6,-5.6256
7,-6.2583
8,-6.7267